{"formula": "BaTiN2", "functional": "GGA-PBEsol", "state": "optimized geometry", "lattice_angstrom": [[-0.009, 2.198, 2.371], [2.051, -2.496, 0.118], [8.295, 6.528, -6.018]], "species": ["Ba", "Ba", "Ti", "Ti", "N", "N", "N", "N"], "frac_coords": [[0.333, 0.667, 0.750], [0.667, 0.333, 0.250], [0.000, 0.000, 0.500], [0.000, 0.000, 0.000], [0.667, 0.333, 0.588], [0.333, 0.667, 0.412], [0.333, 0.667, 0.088], [0.667, 0.333, 0.912]], "space_group": "P6_3/mmc (194)", "total_magnetization_mub_per_cell": 0.0, "e_form_raw_ev_per_atom": -1.01}